Here is crystalline Pm2DyHo6Tm at its relaxed geometry from Alexandria via LeMat-Bulk. Energies are from PBE.

Unit cell a=8.7315 b=8.7315 c=9.6180 alpha=94.48 beta=94.48 gamma=118.09
With the nearest neighbours (Å) after each atom.
Positions (direct):
1 Pm 0.1950 0.2987 0.0429  5 Ho 3.24-3.49, 2 Dy 3.35-3.37, 1 Tm 3.53
2 Pm 0.2987 0.1950 0.5429  5 Ho 3.24-3.49, 2 Dy 3.35-3.37, 1 Tm 3.53
3 Pm 0.7013 0.8050 0.4571  5 Ho 3.24-3.49, 2 Dy 3.35-3.37, 1 Tm 3.53
4 Pm 0.8050 0.7013 0.9571  5 Ho 3.24-3.49, 2 Dy 3.35-3.37, 1 Tm 3.53
5 Dy 0.0190 0.9810 0.2500  4 Pm 3.35-3.37, 4 Ho 3.56-3.64
6 Dy 0.9810 0.0190 0.7500  4 Pm 3.35-3.37, 4 Ho 3.56-3.64
7 Ho 0.0201 0.5743 0.1871  2 Ho 3.22-3.55, 1 Pm 3.37, 1 Tm 3.43, 1 Dy 3.56
8 Ho 0.1255 0.7460 0.5571  7 Ho 3.38-3.72, 1 Pm 3.49, 1 Dy 3.64, 1 Tm 3.75
9 Ho 0.2540 0.8745 0.9429  7 Ho 3.38-3.72, 1 Pm 3.49, 1 Dy 3.64, 1 Tm 3.75
10 Ho 0.2919 0.5033 0.3807  4 Ho 3.22-3.49, 3 Pm 3.24-3.42, 2 Tm 3.40-3.54
11 Ho 0.4257 0.9799 0.3129  2 Ho 3.22-3.55, 1 Pm 3.37, 1 Tm 3.43, 1 Dy 3.56
12 Ho 0.4967 0.7081 0.1193  4 Ho 3.22-3.49, 3 Pm 3.24-3.42, 2 Tm 3.40-3.54
13 Ho 0.5033 0.2919 0.8807  4 Ho 3.22-3.49, 3 Pm 3.24-3.42, 2 Tm 3.40-3.54
14 Ho 0.5743 0.0201 0.6871  2 Ho 3.22-3.55, 1 Pm 3.37, 1 Tm 3.43, 1 Dy 3.56
15 Ho 0.7081 0.4967 0.6193  4 Ho 3.22-3.49, 3 Pm 3.24-3.42, 2 Tm 3.40-3.54
16 Ho 0.7460 0.1255 0.0571  7 Ho 3.38-3.72, 1 Pm 3.49, 1 Dy 3.64, 1 Tm 3.75
17 Ho 0.8745 0.2540 0.4429  7 Ho 3.38-3.72, 1 Pm 3.49, 1 Dy 3.64, 1 Tm 3.75
18 Ho 0.9799 0.4257 0.8129  2 Ho 3.22-3.55, 1 Pm 3.37, 1 Tm 3.43, 1 Dy 3.56
19 Tm 0.4074 0.5926 0.7500  8 Ho 3.40-3.75, 2 Pm 3.53
20 Tm 0.5926 0.4074 0.2500  8 Ho 3.40-3.75, 2 Pm 3.53

Properties
density = 8.4 g cm⁻³
total magnetic moment = 0.0000 μB/atom
DOS(E_F) = 13.21 states/eV/f.u.
volume = 639 Å³ per cell
calculated formation energy = 0.116 eV per atom